The following is a DFT calculation (GGA-PBE) of a relaxed structure of Tl2TePW.

Summary:
As for the total moment: 4.52 μB/f.u. For the volume, the calculation gives 190 Å³/cell. Its raw formation energy is 1.7664 eV/atom.

```
data_Tl2TePW
_chemical_formula_sum 'Tl2 Te1 P1 W1'
_space_group_name_H-M_alt 'P 1'
_space_group_IT_number 1
_space_group_name_Hall 'P 1'
_cell_length_a 6.210
_cell_length_b 6.210
_cell_length_c 4.915
_cell_angle_alpha 90.00
_cell_angle_beta 90.00
_cell_angle_gamma 90.00
loop_
_atom_site_label
_atom_site_fract_x
_atom_site_fract_y
_atom_site_fract_z
Tl1 0.000 0.500 0.000
Tl2 0.500 0.000 0.000
Te1 0.000 0.000 0.000
P1 0.000 0.000 0.500
W1 0.500 0.500 0.500
```

---

The following is a DFT calculation (GGA-PBE) of a relaxed structure of Ce2HoTmAs4.

Summary:
As for the total moment: 1.29 μB/f.u. Its formation energy is -1.4694 eV per atom. For the volume, the calculation gives 202 Å³/cell.

```
data_Ce2HoTmAs4
_chemical_formula_sum 'Ce2 Ho1 Tm1 As4'
_space_group_name_H-M_alt 'P 1'
_space_group_IT_number 1
_space_group_name_Hall 'P 1'
_cell_length_a 7.172
_cell_length_b 4.152
_cell_length_c 7.194
_cell_angle_alpha 90.00
_cell_angle_beta 109.53
_cell_angle_gamma 90.00
loop_
_atom_site_label
_atom_site_fract_x
_atom_site_fract_y
_atom_site_fract_z
Ce1 0.000 0.000 0.000
Ce2 0.000 0.500 0.500
Ho1 0.500 0.000 0.500
Tm1 0.500 0.500 0.000
As1 0.257 0.000 0.754
As2 0.257 0.500 0.251
As3 0.743 0.000 0.246
As4 0.743 0.500 0.749
```

---

The following is a DFT calculation (GGA-PBE) of a relaxed structure of ZrRe2Te.

Summary:
As for the total moment: 0.00 μB/f.u. For the volume, the calculation gives 75 Å³/cell. Its raw formation energy is 0.6335 eV/atom.

```
data_ZrRe2Te
_chemical_formula_sum 'Zr1 Re2 Te1'
_space_group_name_H-M_alt 'P 1'
_space_group_IT_number 1
_space_group_name_Hall 'P 1'
_cell_length_a 2.940
_cell_length_b 2.940
_cell_length_c 9.460
_cell_angle_alpha 90.00
_cell_angle_beta 90.00
_cell_angle_gamma 113.22
loop_
_atom_site_label
_atom_site_fract_x
_atom_site_fract_y
_atom_site_fract_z
Zr1 0.000 0.000 0.000
Re1 0.500 0.500 0.235
Re2 0.500 0.500 0.765
Te1 0.000 0.000 0.500
```

---

The following is a DFT calculation (GGA-PBE) of a relaxed structure of Bi2TeH.

Summary:
As for the total moment: 0.00 μB/f.u. The value obtained for the polymorph energy (0 for the lowest one) is 150 meV per atom. For the volume, the calculation gives 103 Å³/cell.

```
data_Bi2TeH
_chemical_formula_sum 'Bi2 Te1 H1'
_space_group_name_H-M_alt 'P 1'
_space_group_IT_number 1
_space_group_name_Hall 'P 1'
_cell_length_a 5.255
_cell_length_b 5.255
_cell_length_c 5.255
_cell_angle_alpha 60.00
_cell_angle_beta 60.00
_cell_angle_gamma 60.00
loop_
_atom_site_label
_atom_site_fract_x
_atom_site_fract_y
_atom_site_fract_z
Bi1 0.250 0.250 0.250
Bi2 0.750 0.750 0.750
Te1 0.000 0.000 0.000
H1 0.500 0.500 0.500
```

---

The following is a DFT calculation (GGA-PBE) of a relaxed structure of Mg5TlAg2Pb2.

Summary:
As for the total moment: 0.00 μB/f.u. Its formation energy is -0.0585 eV per atom. For the volume, the calculation gives 476 Å³/cell.

```
data_Mg5TlAg2Pb2
_chemical_formula_sum 'Mg10 Tl2 Ag4 Pb4'
_space_group_name_H-M_alt 'P 1'
_space_group_IT_number 1
_space_group_name_Hall 'P 1'
_cell_length_a 11.286
_cell_length_b 11.286
_cell_length_c 3.739
_cell_angle_alpha 90.00
_cell_angle_beta 90.00
_cell_angle_gamma 90.00
loop_
_atom_site_label
_atom_site_fract_x
_atom_site_fract_y
_atom_site_fract_z
Mg1 0.000 0.500 0.000
Mg2 0.054 0.208 0.000
Mg3 0.208 0.946 0.000
Mg4 0.292 0.446 0.000
Mg5 0.446 0.708 0.000
Mg6 0.500 0.000 0.000
Mg7 0.554 0.292 0.000
Mg8 0.708 0.554 0.000
Mg9 0.792 0.054 0.000
Mg10 0.946 0.792 0.000
Tl1 0.000 0.000 0.500
Tl2 0.500 0.500 0.500
Ag1 0.127 0.373 0.500
Ag2 0.373 0.873 0.500
Ag3 0.627 0.127 0.500
Ag4 0.873 0.627 0.500
Pb1 0.176 0.676 0.500
Pb2 0.324 0.176 0.500
Pb3 0.676 0.824 0.500
Pb4 0.824 0.324 0.500
```

---

The following is a DFT calculation (GGA-PBE) of a relaxed structure of MgCu2Cl.

Summary:
As for the total moment: 0.00 μB/f.u. The value obtained for the polymorph energy (0 for the lowest one) is 452 meV per atom. For the volume, the calculation gives 68 Å³/cell. Its raw formation energy is 0.1865 eV/atom.

```
data_MgCu2Cl
_chemical_formula_sum 'Mg1 Cu2 Cl1'
_space_group_name_H-M_alt 'P 1'
_space_group_IT_number 1
_space_group_name_Hall 'P 1'
_cell_length_a 4.575
_cell_length_b 4.575
_cell_length_c 4.575
_cell_angle_alpha 60.00
_cell_angle_beta 60.00
_cell_angle_gamma 60.00
loop_
_atom_site_label
_atom_site_fract_x
_atom_site_fract_y
_atom_site_fract_z
Mg1 0.000 0.000 0.000
Cu1 0.250 0.250 0.250
Cu2 0.500 0.500 0.500
Cl1 0.750 0.750 0.750
```

---

The following is a DFT calculation (GGA-PBE) of a relaxed structure of SrLaB2.

Summary:
As for the total moment: 0.00 μB/f.u. The value obtained for the polymorph energy (0 for the lowest one) is 0 meV per atom. Its formation energy is 0.6896 eV per atom. For the volume, the calculation gives 82 Å³/cell.

```
data_SrLaB2
_chemical_formula_sum 'Sr1 La1 B2'
_space_group_name_H-M_alt 'P 1'
_space_group_IT_number 1
_space_group_name_Hall 'P 1'
_cell_length_a 4.886
_cell_length_b 4.886
_cell_length_c 4.886
_cell_angle_alpha 60.00
_cell_angle_beta 60.00
_cell_angle_gamma 60.00
loop_
_atom_site_label
_atom_site_fract_x
_atom_site_fract_y
_atom_site_fract_z
Sr1 0.000 0.000 0.000
La1 0.500 0.500 0.500
B1 0.250 0.250 0.250
B2 0.750 0.750 0.750
```

---

The following is a DFT calculation (GGA-PBE) of a relaxed structure of La3SmInNi.

Summary:
As for the total moment: 0.00 μB/f.u. Its formation energy is -0.2056 eV per atom. For the volume, the calculation gives 365 Å³/cell.

```
data_La3SmInNi
_chemical_formula_sum 'La6 Sm2 In2 Ni2'
_space_group_name_H-M_alt 'P 1'
_space_group_IT_number 1
_space_group_name_Hall 'P 1'
_cell_length_a 7.437
_cell_length_b 7.437
_cell_length_c 7.836
_cell_angle_alpha 91.95
_cell_angle_beta 91.95
_cell_angle_gamma 57.39
loop_
_atom_site_label
_atom_site_fract_x
_atom_site_fract_y
_atom_site_fract_z
La1 0.108 0.641 0.586
La2 0.217 0.217 0.876
La3 0.359 0.892 0.414
La4 0.641 0.108 0.586
La5 0.783 0.783 0.124
La6 0.892 0.359 0.414
Sm1 0.258 0.742 0.000
Sm2 0.742 0.258 0.000
In1 0.347 0.347 0.244
In2 0.653 0.653 0.756
Ni1 0.030 0.030 0.704
Ni2 0.970 0.970 0.296
```

---

The following is a DFT calculation (GGA-PBE) of a relaxed structure of Sr2HoNpO6.

Summary:
As for the total moment: 2.00 μB/f.u. For the volume, the calculation gives 309 Å³/cell. Its raw formation energy is -3.1596 eV/atom.

```
data_Sr2HoNpO6
_chemical_formula_sum 'Sr4 Ho2 Np2 O12'
_space_group_name_H-M_alt 'P 1'
_space_group_IT_number 1
_space_group_name_Hall 'P 1'
_cell_length_a 5.965
_cell_length_b 6.093
_cell_length_c 10.387
_cell_angle_alpha 90.00
_cell_angle_beta 125.01
_cell_angle_gamma 90.00
loop_
_atom_site_label
_atom_site_fract_x
_atom_site_fract_y
_atom_site_fract_z
Sr1 0.240 0.043 0.251
Sr2 0.240 0.457 0.751
Sr3 0.760 0.543 0.249
Sr4 0.760 0.957 0.749
Ho1 0.500 0.000 0.000
Ho2 0.500 0.500 0.500
Np1 0.000 0.000 0.500
Np2 0.000 0.500 0.000
O1 0.145 0.212 0.946
O2 0.145 0.288 0.446
O3 0.239 0.699 0.951
O4 0.239 0.801 0.451
O5 0.340 0.035 0.744
O6 0.340 0.465 0.244
O7 0.660 0.535 0.756
O8 0.660 0.965 0.256
O9 0.761 0.199 0.549
O10 0.761 0.301 0.049
O11 0.855 0.712 0.554
O12 0.855 0.788 0.054
```

---

The following is a DFT calculation (GGA-PBE) of a relaxed structure of Ce2HoSb3Rh4.

Summary:
As for the total moment: 1.80 μB/f.u. For the volume, the calculation gives 219 Å³/cell. Its raw formation energy is -0.8263 eV/atom.

```
data_Ce2HoSb3Rh4
_chemical_formula_sum 'Ce2 Ho1 Sb3 Rh4'
_space_group_name_H-M_alt 'P 1'
_space_group_IT_number 1
_space_group_name_Hall 'P 1'
_cell_length_a 4.354
_cell_length_b 4.354
_cell_length_c 11.555
_cell_angle_alpha 90.00
_cell_angle_beta 90.00
_cell_angle_gamma 90.00
loop_
_atom_site_label
_atom_site_fract_x
_atom_site_fract_y
_atom_site_fract_z
Ce1 0.000 0.500 0.232
Ce2 0.500 0.000 0.768
Ho1 0.000 0.000 0.500
Sb1 0.000 0.500 0.870
Sb2 0.500 0.000 0.130
Sb3 0.500 0.500 0.500
Rh1 0.000 0.000 0.000
Rh2 0.000 0.500 0.648
Rh3 0.500 0.000 0.352
Rh4 0.500 0.500 0.000
```

---

The following is a DFT calculation (GGA-PBE) of a relaxed structure of Cr2CoSnPt.

Summary:
As for the total moment: 9.42 μB/f.u. Its formation energy is 0.9498 eV per atom. For the volume, the calculation gives 109 Å³/cell.

```
data_Cr2CoSnPt
_chemical_formula_sum 'Cr2 Co1 Sn1 Pt1'
_space_group_name_H-M_alt 'P 1'
_space_group_IT_number 1
_space_group_name_Hall 'P 1'
_cell_length_a 4.826
_cell_length_b 4.826
_cell_length_c 4.664
_cell_angle_alpha 90.00
_cell_angle_beta 90.00
_cell_angle_gamma 90.00
loop_
_atom_site_label
_atom_site_fract_x
_atom_site_fract_y
_atom_site_fract_z
Cr1 0.000 0.500 0.000
Cr2 0.500 0.000 0.000
Co1 0.000 0.000 0.500
Sn1 0.500 0.500 0.500
Pt1 0.000 0.000 0.000
```

---

The following is a DFT calculation (GGA-PBE) of a relaxed structure of LiNi3Br.

Summary:
As for the total moment: 0.00 μB/f.u. The value obtained for the polymorph energy (0 for the lowest one) is 0 meV per atom. For the volume, the calculation gives 84 Å³/cell. Its raw formation energy is 0.6376 eV/atom.

```
data_LiNi3Br
_chemical_formula_sum 'Li1 Ni3 Br1'
_space_group_name_H-M_alt 'P 1'
_space_group_IT_number 1
_space_group_name_Hall 'P 1'
_cell_length_a 4.378
_cell_length_b 4.378
_cell_length_c 4.378
_cell_angle_alpha 90.00
_cell_angle_beta 90.00
_cell_angle_gamma 90.00
loop_
_atom_site_label
_atom_site_fract_x
_atom_site_fract_y
_atom_site_fract_z
Li1 0.000 0.000 0.000
Ni1 0.000 0.500 0.500
Ni2 0.500 0.000 0.500
Ni3 0.500 0.500 0.000
Br1 0.500 0.500 0.500
```

---

> Which of these has the highest volume?

Mg5TlAg2Pb2